Version i
## FeCuMo (PBEsol)

Data for an optimized crystal structure of FeCuMo.

Summary:
ρ = 9.7 g/cm3
calculated volume = 12.293 Å³ per atom

a = 2.535 Å, b = 3.795 Å, c = 4.462 Å
α = 115.17°, β = 106.50°, γ = 90.00°
Site moments in Bohr magnetons follow the coordinates.
Sites, in units of the cell vectors:
1 Cu 0.997 0.997 0.993  -0.03
2 Fe 0.337 0.337 0.674  1.32
3 Mo 0.666 0.666 0.332  -0.27

***

Version ii
## FeCuMo (PBEsol)

Data for an optimized crystal structure of FeCuMo.

Summary:
ρ = 8.3 g/cm3
calculated volume = 14.433 Å³ per atom

a = 3.942 Å, b = 3.942 Å, c = 3.942 Å
α = 60.00°, β = 60.00°, γ = 60.00°
Site moments in Bohr magnetons follow the coordinates.
Sites, in units of the cell vectors:
1 Cu 0.250 0.250 0.250  -0.01
2 Fe 0.000 0.000 0.000  2.58
3 Mo 0.500 0.500 0.500  -0.15

***

The most stable arrangement is version i, and the next structure is 0.733 eV/atom less stable.

***

Version i
## Fe2CuNi (PBEsol)

Data for an optimized crystal structure of Fe2CuNi.

Summary:
ρ = 8.9 g/cm3
calculated volume = 10.955 Å³ per atom

a = 2.458 Å, b = 2.458 Å, c = 7.255 Å
α = 90.00°, β = 90.00°, γ = 89.75°
Site moments in Bohr magnetons follow the coordinates.
Sites, in units of the cell vectors:
1 Ni 0.000 0.000 0.503  0.49
2 Fe 0.000 0.000 0.000  2.51
3 Fe 0.500 0.500 0.741  2.43
4 Cu 0.500 0.500 0.255  0.09

***

Version ii
## Fe2CuNi (PBEsol)

Data for an optimized crystal structure of Fe2CuNi.

Summary:
ρ = 8.9 g/cm3
calculated volume = 10.935 Å³ per atom

a = 2.461 Å, b = 4.053 Å, c = 4.386 Å
α = 90.00°, β = 90.00°, γ = 90.00°
Site moments in Bohr magnetons follow the coordinates.
Sites, in units of the cell vectors:
1 Ni 0.500 0.000 0.538  0.61
2 Fe 0.000 0.000 0.037  2.48
3 Fe 0.000 0.500 0.711  2.46
4 Cu 0.500 0.500 0.215  0.12

***

The most stable arrangement is version i, and the next structure is 0.015 eV/atom less stable.

***

Version i
## Fe2CuNi (PBEsol)

Data for an optimized crystal structure of Fe2CuNi.

Summary:
ρ = 8.9 g/cm3
calculated volume = 10.956 Å³ per atom

a = 2.462 Å, b = 4.374 Å, c = 4.374 Å
α = 111.52°, β = 90.00°, γ = 90.00°
Site moments in Bohr magnetons follow the coordinates.
Sites, in units of the cell vectors:
1 Ni 0.500 0.000 0.000  0.64
2 Fe 0.000 0.500 0.000  2.54
3 Fe 0.000 0.000 0.500  2.54
4 Cu 0.500 0.500 0.500  0.13

***

Version ii
## Fe2CuNi (PBEsol)

Data for an optimized crystal structure of Fe2CuNi.

Summary:
ρ = 8.8 g/cm3
calculated volume = 10.999 Å³ per atom

a = 3.489 Å, b = 3.489 Å, c = 4.376 Å
α = 113.49°, β = 113.49°, γ = 90.00°
Site moments in Bohr magnetons follow the coordinates.
Sites, in units of the cell vectors:
1 Ni 0.000 0.000 0.000  0.64
2 Fe 0.750 0.250 0.500  2.58
3 Fe 0.250 0.750 0.500  2.58
4 Cu 0.500 0.500 0.000  0.16

***

The most stable arrangement is version i, and the next structure is 0.012 eV/atom less stable.

***

Version i
## Fe2CuNi (PBEsol)

Data for an optimized crystal structure of Fe2CuNi.

Summary:
ρ = 8.9 g/cm3
calculated volume = 10.966 Å³ per atom

a = 2.461 Å, b = 3.618 Å, c = 4.926 Å
α = 90.00°, β = 90.00°, γ = 90.00°
Site moments in Bohr magnetons follow the coordinates.
Sites, in units of the cell vectors:
1 Ni 0.500 0.500 0.000  0.65
2 Fe 0.000 0.000 0.754  2.53
3 Fe 0.000 0.000 0.246  2.53
4 Cu 0.500 0.500 0.500  0.12

***

Version ii
## Fe2CuNi (PBEsol)

Data for an optimized crystal structure of Fe2CuNi.

Summary:
ρ = 8.8 g/cm3
calculated volume = 11.006 Å³ per atom

a = 3.486 Å, b = 3.486 Å, c = 3.623 Å
α = 90.00°, β = 90.00°, γ = 90.00°
Site moments in Bohr magnetons follow the coordinates.
Sites, in units of the cell vectors:
1 Ni 0.500 0.500 0.500  0.68
2 Fe 0.000 0.500 0.000  2.58
3 Fe 0.500 0.000 0.000  2.58
4 Cu 0.000 0.000 0.500  0.14

***

The most stable arrangement is version i, and the next structure is 0.009 eV/atom less stable.

***

Version i
## FeCuNi (PBEsol)

Data for an optimized crystal structure of FeCuNi.

Summary:
ρ = 9.0 g/cm3
calculated volume = 10.892 Å³ per atom

a = 2.481 Å, b = 3.539 Å, c = 4.303 Å
α = 114.28°, β = 106.76°, γ = 90.00°
Site moments in Bohr magnetons follow the coordinates.
Sites, in units of the cell vectors:
1 Ni 0.668 0.668 0.336  0.56
2 Fe 0.331 0.331 0.663  2.63
3 Cu 0.001 0.001 0.002  0.10

***

Version ii
## FeCuNi (PBEsol)

Data for an optimized crystal structure of FeCuNi.

Summary:
ρ = 9.1 g/cm3
calculated volume = 10.868 Å³ per atom

a = 2.475 Å, b = 2.475 Å, c = 5.604 Å
α = 102.76°, β = 102.76°, γ = 90.00°
Site moments in Bohr magnetons follow the coordinates.
Sites, in units of the cell vectors:
1 Ni 0.331 0.331 0.662  0.47
2 Fe 0.670 0.670 0.341  2.48
3 Cu 0.999 0.999 0.997  0.08

***

The most stable arrangement is version i, and the next structure is 0.026 eV/atom less stable.

***

Version i
## Fe2CuOs (PBEsol)

Data for an optimized crystal structure of Fe2CuOs.

Summary:
ρ = 12.9 g/cm3
calculated volume = 11.769 Å³ per atom

a = 2.598 Å, b = 2.598 Å, c = 6.975 Å
α = 90.00°, β = 90.00°, γ = 90.00°
Site moments in Bohr magnetons follow the coordinates.
Sites, in units of the cell vectors:
1 Cu 0.500 0.500 0.500  0.09
2 Fe 0.000 0.000 0.745  1.71
3 Fe 0.000 0.000 0.255  1.71
4 Os 0.500 0.500 0.000  -0.31

***

Version ii
## Fe2CuOs (PBEsol)

Data for an optimized crystal structure of Fe2CuOs.

Summary:
ρ = 12.8 g/cm3
calculated volume = 11.815 Å³ per atom

a = 4.058 Å, b = 4.058 Å, c = 4.058 Å
α = 60.00°, β = 60.00°, γ = 60.00°
Site moments in Bohr magnetons follow the coordinates.
Sites, in units of the cell vectors:
1 Cu 0.000 0.000 0.000  0.06
2 Fe 0.250 0.250 0.250  1.84
3 Fe 0.750 0.750 0.750  1.84
4 Os 0.500 0.500 0.500  0.18

***

Version iii
## Fe2CuOs (PBEsol)

Data for an optimized crystal structure of Fe2CuOs.

Summary:
ρ = 12.4 g/cm3
calculated volume = 12.252 Å³ per atom

a = 2.536 Å, b = 2.536 Å, c = 8.255 Å
α = 90.00°, β = 90.00°, γ = 112.65°
Site moments in Bohr magnetons follow the coordinates.
Sites, in units of the cell vectors:
1 Cu 0.500 0.500 0.239  0.05
2 Fe 0.000 0.000 0.994  2.49
3 Fe 0.500 0.500 0.761  2.41
4 Os 0.000 0.000 0.506  0.05

***

The most stable arrangement is version i, and the next structure is 0.107 eV/atom less stable.

***

Version i
## FeCuPt (PBEsol)

Data for an optimized crystal structure of FeCuPt.

Summary:
ρ = 11.8 g/cm3
calculated volume = 14.741 Å³ per atom

a = 3.969 Å, b = 3.969 Å, c = 3.969 Å
α = 60.00°, β = 60.00°, γ = 60.00°
Site moments in Bohr magnetons follow the coordinates.
Sites, in units of the cell vectors:
1 Cu 0.250 0.250 0.250  0.16
2 Fe 0.000 0.000 0.000  3.05
3 Pt 0.500 0.500 0.500  0.20

***

Version ii
## FeCuPt (PBEsol)

Data for an optimized crystal structure of FeCuPt.

Summary:
ρ = 13.6 g/cm3
calculated volume = 12.800 Å³ per atom

a = 2.605 Å, b = 4.126 Å, c = 4.126 Å
α = 120.00°, β = 90.00°, γ = 90.00°
Site moments in Bohr magnetons follow the coordinates.
Sites, in units of the cell vectors:
1 Cu 0.934 0.000 0.000  0.11
2 Fe 0.735 0.667 0.333  2.88
3 Pt 0.331 0.333 0.667  0.27

***

The most stable arrangement is version ii, and the next structure is 0.449 eV/atom less stable.

***

Version i
## FeCuPt (PBEsol)

Data for an optimized crystal structure of FeCuPt.

Summary:
ρ = 13.7 g/cm3
calculated volume = 12.724 Å³ per atom

a = 2.666 Å, b = 3.661 Å, c = 4.519 Å
α = 113.90°, β = 107.15°, γ = 90.00°
Site moments in Bohr magnetons follow the coordinates.
Sites, in units of the cell vectors:
1 Pt 0.668 0.668 0.335  0.10
2 Cu 0.998 0.998 0.996  0.27
3 Fe 0.335 0.335 0.669  2.86

***

Version ii
## FeCuPt (PBEsol)

Data for an optimized crystal structure of FeCuPt.

Summary:
ρ = 13.7 g/cm3
calculated volume = 12.690 Å³ per atom

a = 2.679 Å, b = 2.679 Å, c = 5.633 Å
α = 103.76°, β = 103.76°, γ = 90.00°
Site moments in Bohr magnetons follow the coordinates.
Sites, in units of the cell vectors:
1 Pt 0.668 0.668 0.337  0.10
2 Cu 0.994 0.994 0.989  0.20
3 Fe 0.337 0.337 0.675  2.73

***

The most stable arrangement is version i, and the next structure is 0.064 eV/atom less stable.